CaLaY2 (meta-GGA SCAN, single point on PBEsol structure); density of states at the Fermi level = 4.6 states/eV/cell; energy of formation from the pure elements = 0.148 eV per atom
1.0
5.7494 0.0000 0.0000
2.8747 4.9791 0.0000
2.8747 1.6597 4.6944
Ca Y La
1 2 1
Direct
0.0000 0.0000 0.0000 Ca
0.7500 0.7500 0.7500 Y
0.2500 0.2500 0.2500 Y
0.5000 0.5000 0.5000 La

***

BeZnPd2N (meta-GGA SCAN, single point on PBEsol structure); total energy = -91.29 eV per cell; density of states at the Fermi level = 0.8 states/eV/cell
1.0
3.7214 0.0000 0.0000
0.0000 4.1406 0.0000
0.0000 0.0000 4.1406
Pd N Zn Be
2 1 1 1
Direct
0.0000 0.0000 0.5000 Pd
0.0000 0.5000 0.0000 Pd
0.0000 0.0000 0.0000 N
0.5000 0.0000 0.0000 Zn
0.5000 0.5000 0.5000 Be

***

CdH2Pt2 (meta-GGA SCAN, single point on PBEsol structure); total energy = -177.61 eV per cell; density of states at the Fermi level = 1.2 states/eV/cell
1.0
3.3886 0.0000 0.0000
0.0000 3.3886 0.0000
-1.6943 -1.6943 4.8397
H Pt Cd
2 2 1
Direct
0.2500 0.7500 0.5000 H
0.7500 0.2500 0.5000 H
0.6543 0.6543 0.3087 Pt
0.3457 0.3457 0.6913 Pt
0.0000 0.0000 0.0000 Cd